First-principles (PBE-GGA) data for an optimized crystal structure of ThMnPd6, as listed in Alexandria via LeMat-Bulk.

Output
* total DFT energy (no corrections): -6.561 eV/atom
* mass density: 11.3 g/cm³
* total moment: 4.4 μB/cell
* ΔE_f: -0.593 eV per atom

a b c (Å): 4.137 4.137 7.940
angles (deg): 90.00 90.00 90.00
Fractional coordinates of all 8 atoms:
1 Th 0.000 0.000 0.500
2 Mn 0.000 0.000 0.000
3 Pd 0.500 0.500 0.000
4 Pd 0.500 0.500 0.500
5 Pd 0.500 0.000 0.236
6 Pd 0.500 0.000 0.764
7 Pd 0.000 0.500 0.236
8 Pd 0.000 0.500 0.764

=====

First-principles (PBE-GGA) data for an optimized crystal structure of Ti6MnPd2, as listed in Alexandria via LeMat-Bulk.

Output
* total DFT energy (no corrections): -7.410 eV/atom
* mass density: 5.7 g/cm³
* total moment: 0.0 μB/cell
* ΔE_f: 0.026 eV per atom

a b c (Å): 4.357 6.031 7.236
angles (deg): 114.63 107.53 90.00
Fractional coordinates of all 9 atoms:
1 Ti 0.156 0.397 0.313
2 Ti 0.844 0.085 0.687
3 Ti 0.844 0.603 0.687
4 Ti 0.500 0.231 0.000
5 Ti 0.156 0.915 0.313
6 Ti 0.500 0.769 0.000
7 Mn 0.000 0.000 0.000
8 Pd 0.668 0.667 0.335
9 Pd 0.332 0.333 0.665

=====

First-principles (PBE-GGA) data for an optimized crystal structure of TiMn3Pd, as listed in Alexandria via LeMat-Bulk.

Output
* total DFT energy (no corrections): -6.767 eV/atom
* mass density: 7.2 g/cm³
* total moment: 0.0 μB/cell
* ΔE_f: 1.352 eV per atom

a b c (Å): 4.199 4.199 4.199
angles (deg): 90.00 90.00 90.00
Fractional coordinates of all 5 atoms:
1 Mn 0.000 0.500 0.000
2 Mn 0.000 0.000 0.500
3 Mn 0.500 0.000 0.000
4 Pd 0.500 0.500 0.500
5 Ti 0.000 0.000 0.000

=====

First-principles (PBE-GGA) data for an optimized crystal structure of TiMnPd5, as listed in Alexandria via LeMat-Bulk.

Output
* total DFT energy (no corrections): -6.457 eV/atom
* mass density: 9.3 g/cm³
* total moment: 4.3 μB/cell
* ΔE_f: -0.310 eV per atom

a b c (Å): 4.048 4.048 6.897
angles (deg): 90.00 90.00 90.00
Fractional coordinates of all 7 atoms:
1 Ti 0.000 0.000 0.500
2 Mn 0.500 0.500 0.000
3 Pd 0.000 0.500 0.770
4 Pd 0.000 0.500 0.230
5 Pd 0.500 0.000 0.770
6 Pd 0.500 0.000 0.230
7 Pd 0.500 0.500 0.500

=====

First-principles (PBE-GGA) data for an optimized crystal structure of TiMnPd5, as listed in Alexandria via LeMat-Bulk.

Output
* total DFT energy (no corrections): -6.394 eV/atom
* mass density: 9.2 g/cm³
* total moment: 9.2 μB/cell
* ΔE_f: -0.247 eV per atom

a b c (Å): 5.397 5.397 10.994
angles (deg): 59.75 59.75 62.56
Fractional coordinates of all 14 atoms:
1 Ti 0.627 0.373 0.250
2 Ti 0.373 0.627 0.750
3 Mn 0.000 0.000 0.000
4 Mn 0.000 0.000 0.500
5 Pd 0.558 0.913 0.263
6 Pd 0.289 0.429 0.488
7 Pd 0.913 0.558 0.763
8 Pd 0.071 0.929 0.250
9 Pd 0.571 0.711 0.012
10 Pd 0.429 0.289 0.988
11 Pd 0.929 0.071 0.750
12 Pd 0.087 0.442 0.237
13 Pd 0.711 0.571 0.512
14 Pd 0.442 0.087 0.737

=====

First-principles (PBE-GGA) data for an optimized crystal structure of TiMn2Pd2, as listed in Alexandria via LeMat-Bulk.

Output
* total DFT energy (no corrections): -7.216 eV/atom
* mass density: 8.7 g/cm³
* total moment: 0.0 μB/cell
* ΔE_f: 0.107 eV per atom

a b c (Å): 7.273 7.273 2.689
angles (deg): 90.00 90.00 90.00
Fractional coordinates of all 10 atoms:
1 Mn 0.401 0.901 0.000
2 Mn 0.901 0.599 0.000
3 Mn 0.599 0.099 0.000
4 Mn 0.099 0.401 0.000
5 Pd 0.193 0.693 0.500
6 Pd 0.693 0.807 0.500
7 Pd 0.807 0.307 0.500
8 Pd 0.307 0.193 0.500
9 Ti 0.000 0.000 0.000
10 Ti 0.500 0.500 0.000

=====

First-principles (PBE-GGA) data for an optimized crystal structure of Ti7MnPd2, as listed in Alexandria via LeMat-Bulk.

Output
* total DFT energy (no corrections): -6.955 eV/atom
* mass density: 5.6 g/cm³
* total moment: 0.0 μB/cell
* ΔE_f: 0.527 eV per atom

a b c (Å): 6.337 6.337 6.337
angles (deg): 60.00 60.00 60.00
Fractional coordinates of all 10 atoms:
1 Ti 0.500 0.500 0.500
2 Ti 0.244 0.756 0.756
3 Ti 0.244 0.756 0.244
4 Ti 0.756 0.244 0.756
5 Ti 0.756 0.756 0.244
6 Ti 0.244 0.244 0.756
7 Ti 0.756 0.244 0.244
8 Mn 0.000 0.000 0.000
9 Pd 0.250 0.250 0.250
10 Pd 0.750 0.750 0.750

=====

First-principles (PBE-GGA) data for an optimized crystal structure of Ti6MnPd3, as listed in Alexandria via LeMat-Bulk.

Output
* total DFT energy (no corrections): -7.408 eV/atom
* mass density: 6.7 g/cm³
* total moment: 0.0 μB/cell
* ΔE_f: -0.196 eV per atom

a b c (Å): 4.989 7.611 8.687
angles (deg): 90.00 90.20 90.00
Fractional coordinates of all 20 atoms:
1 Ti 0.584 0.165 0.964
2 Ti 0.566 0.187 0.556
3 Ti 0.643 0.437 0.270
4 Ti 0.357 0.563 0.730
5 Ti 0.434 0.813 0.444
6 Ti 0.416 0.835 0.036
7 Ti 0.084 0.335 0.464
8 Ti 0.066 0.313 0.056
9 Ti 0.143 0.063 0.770
10 Ti 0.857 0.937 0.230
11 Ti 0.934 0.687 0.944
12 Ti 0.916 0.665 0.536
13 Mn 0.500 0.500 0.500
14 Mn 0.000 0.000 0.000
15 Pd 0.653 0.899 0.744
16 Pd 0.500 0.500 0.000
17 Pd 0.347 0.101 0.256
18 Pd 0.153 0.601 0.244
19 Pd 0.000 0.000 0.500
20 Pd 0.847 0.399 0.756

=====

Question: Which of these has the lowest mass density?
Answer: Ti7MnPd2